Entry 1:
The following is a DFT calculation (GGA-PBE) of a geometry-optimized KSc2Re structure.

Unit cell a=3.0081 b=3.0081 c=11.1991 alpha=90.00 beta=90.00 gamma=111.97
With the nearest neighbours (Å) after each atom.
Fractional positions:
Re (0.5000, 0.5000, 0.7865)  2 Sc 2.62
K (0.0000, 0.0000, 0.5310)  6 K 3.01-3.37, 2 Re 3.32
Sc (0.5000, 0.5000, 0.2165)  8 Sc 3.01-3.37
Sc (0.0000, 0.0000, 0.9660)  2 Re 2.62

The density is 5.57 g/cm3. For the uncorrected energy, the calculation gives -0.2168 Ha/atom. The density of states at the Fermi level is 5.1 states/eV per cell. The calculation puts the offset from the most stable computed form at 498 meV per atom. Its formation energy is 0.6530 eV per atom. Its crystal system is orthorhombic.



Entry 2:
The following is a DFT calculation (GGA-PBE) of a geometry-optimized KScRe structure.

Unit cell a=4.8627 b=4.8627 c=4.8627 alpha=60.00 beta=60.00 gamma=60.00
With the nearest neighbours (Å) after each atom.
Fractional positions:
Sc (0.0000, 0.0000, 0.0000)  4 Re 2.98
K (0.5000, 0.5000, 0.5000)  4 Re 2.98
Re (0.7500, 0.7500, 0.7500)  4 K 2.98, 4 Sc 2.98

The density is 5.52 g/cm3. For the uncorrected energy, the calculation gives -0.1794 Ha/atom. The density of states at the Fermi level is 6.8 states/eV per cell. The calculation puts the offset from the most stable computed form at 966 meV per atom. Its formation energy is 1.7432 eV per atom. Its crystal system is cubic.



Entry 3:
The following is a DFT calculation (GGA-PBE) of a geometry-optimized KScRe2 structure.

Unit cell a=5.8733 b=5.8733 c=2.6523 alpha=90.00 beta=90.00 gamma=125.62
With the nearest neighbours (Å) after each atom.
Fractional positions:
Re (0.5000, 0.5000, 0.0000)  4 Re 2.65-2.68
Re (0.0000, 0.0000, 0.0000)  4 Re 2.65-2.68
Sc (0.5000, 0.0000, 0.5000)  2 Sc 2.65, 2 K 2.68
K (0.0000, 0.5000, 0.5000)  2 K 2.65, 2 Sc 2.68

The density is 10.19 g/cm3. For the uncorrected energy, the calculation gives -0.2569 Ha/atom. The density of states at the Fermi level is 2.7 states/eV per cell. The calculation puts the offset from the most stable computed form at 631 meV per atom. Its formation energy is 1.0904 eV per atom. Its crystal system is orthorhombic.



Entry 4:
The following is a DFT calculation (GGA-PBE) of a geometry-optimized KScRe2 structure.

Unit cell a=2.7962 b=4.6410 c=7.4242 alpha=90.00 beta=90.00 gamma=90.00
With the nearest neighbours (Å) after each atom.
Fractional positions:
Re (0.0000, 0.0000, 0.4042)  1 Re 2.29
Re (0.0000, 0.0000, 0.0958)  1 Re 2.29
K (0.5000, 0.5000, 0.7500)  2 K 2.80
Sc (0.5000, 0.5000, 0.2500)  2 Sc 2.80, 8 Re 2.94

The density is 7.87 g/cm3. For the uncorrected energy, the calculation gives -0.2705 Ha/atom. The density of states at the Fermi level is 4.2 states/eV per cell. The calculation puts the offset from the most stable computed form at 260 meV per atom. Its formation energy is 0.7196 eV per atom. Its crystal system is orthorhombic.



Entry 5:
The following is a DFT calculation (GGA-PBE) of a geometry-optimized KScRe structure.

Unit cell a=3.1641 b=3.1641 c=8.4342 alpha=90.00 beta=90.00 gamma=120.00
With the nearest neighbours (Å) after each atom.
Fractional positions:
K (0.0000, 0.0000, 0.0343)  6 K 3.16, 3 Re 3.36
Sc (0.3333, 0.6667, 0.5972)  3 Re 2.66
Re (0.6667, 0.3333, 0.3685)  3 Sc 2.66

The density is 6.14 g/cm3. For the uncorrected energy, the calculation gives -0.2116 Ha/atom. The density of states at the Fermi level is 3.9 states/eV per cell. The calculation puts the offset from the most stable computed form at 92 meV per atom. Its formation energy is 0.8689 eV per atom. Its crystal system is trigonal.



Entry 6:
The following is a DFT calculation (GGA-PBE) of a geometry-optimized KScRe2 structure.

Unit cell a=6.0192 b=6.0192 c=4.9515 alpha=65.77 beta=65.77 gamma=27.23
With the nearest neighbours (Å) after each atom.
Fractional positions:
Re (0.4825, 0.4825, 0.5175)  6 Re 2.83-2.88, 2 Sc 2.84, 2 K 3.17
Re (0.0175, 0.0175, 0.9825)  6 Re 2.83-2.88, 2 Sc 2.84, 2 K 3.17
K (0.2500, 0.2500, 0.2500)  2 K 2.83, 4 Sc 2.85, 4 Re 3.17
Sc (0.7500, 0.7500, 0.7500)  2 Sc 2.83, 4 Re 2.84, 4 K 2.85

The density is 10.19 g/cm3. For the uncorrected energy, the calculation gives -0.2575 Ha/atom. The density of states at the Fermi level is 3.1 states/eV per cell. The calculation puts the offset from the most stable computed form at 616 meV per atom. Its formation energy is 1.0754 eV per atom. Its crystal system is orthorhombic.